No. 1
Material: Nd2SmIn
Method: DFT, PBE
State: relaxed

a b c (Å): 3.719 3.719 11.270
angles (deg): 80.50 80.50 60.00
Sites, in units of the cell vectors:
Nd 0.077 0.077 0.768
Nd 0.256 0.256 0.231
Sm 0.500 0.500 0.500
In 0.666 0.666 0.001

Summary:
ΔH_f (0 K) (meV per atom): -119
Theoretical density (g cm⁻³): 6.9
N(E_F) (states/eV/f.u.): 5.680
Energy above the lowest structure with this stoichiometry (kJ/mol of formula units): 58.8
SG: No. 160

---

No. 2
Material: NdSmIn
Method: DFT, PBE
State: relaxed

a b c (Å): 3.733 5.329 5.329
angles (deg): 120.00 90.00 90.00
Sites, in units of the cell vectors:
In 0.684 0.667 0.333
Nd 0.373 0.333 0.667
Sm 0.943 0.000 0.000

Summary:
ΔH_f (0 K) (meV per atom): -244
Theoretical density (g cm⁻³): 7.4
N(E_F) (states/eV/f.u.): 2.218
Energy above the lowest structure with this stoichiometry (kJ/mol of formula units): 28.4
SG: No. 156

---

> Among the records above, which one has the highest theoretical density?

NdSmIn